1.
Entry from Alexandria: a relaxed HfV2Co2 crystal (PBE).

Cell: 3.858 3.858 5.634 Å, 69.98 69.98 90.00°
Sites, in units of the cell vectors:
V  0.374  0.374  0.252
V  0.626  0.626  0.748
Co  0.250  0.750  0.500
Co  0.750  0.250  0.500
Hf  0.000  0.000  0.000

Results
The value obtained for the formation energy is 66.4 meV per atom. The calculation puts the energy above the most stable polymorph in this dataset at 19.4 kJ per mole of atoms. As for the symmetry: I4/mmm, No. 139. The calculation puts the calculated volume at 14.68 Å³ per atom. As for the total DFT energy (no corrections): -42.07 eV/cell.

---

2.
Entry from Alexandria: a relaxed HfVCo crystal (PBE).

Cell: 5.061 5.061 8.039 Å, 90.00 90.00 119.96°
Sites, in units of the cell vectors:
Hf  0.336  0.664  0.179
Hf  0.336  0.664  0.821
Hf  0.666  0.334  0.696
Hf  0.666  0.334  0.304
V  0.656  0.837  0.500
V  0.004  0.996  0.762
V  0.163  0.344  0.500
V  0.004  0.996  0.238
Co  0.831  0.657  0.000
Co  0.166  0.834  0.500
Co  0.343  0.169  0.000
Co  0.829  0.171  0.000

Results
The value obtained for the formation energy is -286.8 meV per atom. The calculation puts the energy above the most stable polymorph in this dataset at 0.8 kJ per mole of atoms. As for the symmetry: Amm2, No. 38. The calculation puts the calculated volume at 14.86 Å³ per atom. As for the total DFT energy (no corrections): -108.15 eV/cell.

---

3.
Entry from Alexandria: a relaxed HfV2Co2 crystal (PBE).

Cell: 7.006 7.006 2.811 Å, 90.00 90.00 90.00°
Sites, in units of the cell vectors:
Co  0.373  0.873  0.000
Co  0.627  0.127  0.000
Co  0.127  0.373  0.000
Co  0.873  0.627  0.000
V  0.337  0.163  0.500
V  0.837  0.337  0.500
V  0.663  0.837  0.500
V  0.163  0.663  0.500
Hf  0.500  0.500  0.000
Hf  0.000  0.000  0.000

Results
The value obtained for the formation energy is -48.1 meV per atom. The calculation puts the energy above the most stable polymorph in this dataset at 8.4 kJ per mole of atoms. As for the symmetry: P4/mbm, No. 127. The calculation puts the calculated volume at 13.80 Å³ per atom. As for the total DFT energy (no corrections): -85.29 eV/cell.

---

4.
Entry from Alexandria: a relaxed HfV2Co crystal (PBE).

Cell: 4.322 4.322 4.322 Å, 60.00 60.00 60.00°
Sites, in units of the cell vectors:
Co  0.000  0.000  0.000
V  0.250  0.250  0.250
V  0.750  0.750  0.750
Hf  0.500  0.500  0.500

Results
The value obtained for the formation energy is 155.5 meV per atom. The calculation puts the energy above the most stable polymorph in this dataset at 0.0 kJ per mole of atoms. As for the symmetry: Fm-3m, No. 225. The calculation puts the calculated volume at 14.27 Å³ per atom. As for the total DFT energy (no corrections): -34.67 eV/cell.

---

5.
Entry from Alexandria: a relaxed HfV2Co crystal (PBE).

Cell: 4.071 4.071 9.035 Å, 76.98 76.98 90.00°
Sites, in units of the cell vectors:
Hf  0.000  0.000  0.000
Hf  0.750  0.250  0.500
V  0.375  0.625  0.250
V  0.375  0.625  0.750
V  0.375  0.125  0.250
V  0.875  0.625  0.750
Co  0.500  0.500  0.000
Co  0.250  0.750  0.500

Results
The value obtained for the formation energy is 743.0 meV per atom. The calculation puts the energy above the most stable polymorph in this dataset at 56.7 kJ per mole of atoms. As for the symmetry: I4_1/amd, No. 141. The calculation puts the calculated volume at 17.74 Å³ per atom. As for the total DFT energy (no corrections): -64.65 eV/cell.

---

6.
Entry from Alexandria: a relaxed Hf2VCo2 crystal (PBE).

Cell: 6.115 6.115 4.196 Å, 90.00 90.00 90.00°
Sites, in units of the cell vectors:
Hf  0.323  0.177  0.500
Hf  0.823  0.323  0.500
Hf  0.677  0.823  0.500
Hf  0.177  0.677  0.500
Co  0.137  0.363  0.000
Co  0.363  0.863  0.000
Co  0.637  0.137  0.000
Co  0.863  0.637  0.000
V  0.000  0.000  0.000
V  0.500  0.500  0.000

Results
The value obtained for the formation energy is -244.4 meV per atom. As for the symmetry: P4/mbm, No. 127. The calculation puts the calculated volume at 15.69 Å³ per atom. As for the total DFT energy (no corrections): -88.92 eV/cell.

---

7.
Entry from Alexandria: a relaxed HfCoW crystal (PBE).

Cell: 5.031 4.983 9.011 Å, 81.90 73.79 59.69°
Sites, in units of the cell vectors:
Co  0.876  0.000  0.248
Co  0.626  0.500  0.748
Co  0.874  0.500  0.252
Co  0.124  0.000  0.752
Hf  0.830  0.339  0.000
Hf  0.920  0.161  0.500
Hf  0.580  0.839  0.500
Hf  0.170  0.661  0.000
W  0.420  0.000  0.160
W  0.170  0.500  0.660
W  0.580  0.000  0.840
W  0.330  0.500  0.340

Results
The value obtained for the formation energy is -136.5 meV per atom. As for the symmetry: Fddd, No. 70. The calculation puts the calculated volume at 15.60 Å³ per atom. As for the total DFT energy (no corrections): -121.69 eV/cell.

---

8.
Entry from Alexandria: a relaxed HfCoW2 crystal (PBE).

Cell: 4.462 4.462 4.462 Å, 60.00 60.00 60.00°
Sites, in units of the cell vectors:
Co  0.000  0.000  0.000
Hf  0.500  0.500  0.500
W  0.250  0.250  0.250
W  0.750  0.750  0.750

Results
The value obtained for the formation energy is 402.7 meV per atom. The calculation puts the energy above the most stable polymorph in this dataset at 0.0 kJ per mole of atoms. As for the symmetry: Fm-3m, No. 225. The calculation puts the calculated volume at 15.71 Å³ per atom. As for the total DFT energy (no corrections): -41.35 eV/cell.

---

Question: What is the total DFT energy (no corrections) in the second record?
Answer: -108.15 eV/cell